<w>
SiTcBr2: relaxed, GGA-PBE.

a = 4.2396 Å, b = 5.6592 Å, c = 9.0685 Å
α = 101.04°, β = 97.03°, γ = 90.66°
With the nearest neighbours (Å) after each atom.
Space group P1 (No. 1)
One atom of each set of equivalent atoms:
Si  0.0000  0.0000  0.0000  1 Si 2.41, 2 Tc 2.47-2.54, 1 Br 2.63
Si  0.4179  0.7423  0.9171  2 Br 2.39-2.42, 1 Si 2.41, 2 Tc 2.42-2.54
Tc  0.1687  0.4298  0.0386  1 Tc 2.20
Tc  0.8003  0.6699  0.1239  1 Tc 2.20, 1 Si 2.42
Br  0.0467  0.9327  0.3661  1 Tc 2.51
Br  0.1583  0.3904  0.7491  1 Si 2.42, 1 Tc 2.59
Br  0.5184  0.4057  0.2726  2 Tc 2.46-2.57
Br  0.6741  0.8847  0.7282  2 Si 2.39-2.63

Calculated values
Density   4.5 g/cm3

***

<x>
SiTcBr2: relaxed, GGA-PBE.

a = 6.8498 Å, b = 6.8498 Å, c = 6.8498 Å
α = 90.00°, β = 90.00°, γ = 90.00°
With the nearest neighbours (Å) after each atom.
Space group F-43m (No. 216)
One atom of each set of equivalent atoms:
Si  0.0000  0.0000  0.0000  4 Br 2.97, 4 Tc 2.97
Tc  0.2500  0.2500  0.7500  4 Br 2.97, 4 Si 2.97
Br  0.0000  0.0000  0.5000  4 Tc 2.97, 4 Br 2.97
Br  0.2500  0.2500  0.2500  4 Br 2.97, 4 Si 2.97

Calculated values
Fermi-level density of states   3.44 states/eV/f.u.
Density   5.9 g/cm3

***

<y>
SiTcBr2: relaxed, GGA-PBE.

a = 7.2243 Å, b = 3.4681 Å, c = 8.3096 Å
α = 90.00°, β = 101.21°, γ = 90.00°
With the nearest neighbours (Å) after each atom.
Space group P2_1/m (No. 11)
One atom of each set of equivalent atoms:
Si  0.0663  0.2500  0.4261  1 Br 2.37, 3 Tc 2.37-2.47, 2 Si 2.43
Tc  0.2694  0.7500  0.5497  3 Si 2.37-2.47, 2 Br 2.58-2.66
Br  0.1450  0.7500  0.8302  1 Si 2.37
Br  0.4390  0.7500  0.3040  3 Tc 2.58-2.82

Calculated values
Fermi-level density of states   2.56 states/eV/f.u.
Density   4.6 g/cm3

***

<z>
SiTcBr2: relaxed, GGA-PBE.

a = 3.3595 Å, b = 3.3595 Å, c = 7.2902 Å
α = 90.00°, β = 90.00°, γ = 90.00°
With the nearest neighbours (Å) after each atom.
Space group P4/mmm (No. 123)
One atom of each set of equivalent atoms:
Si  0.0000  0.0000  0.0000  8 Br 3.08, 4 Si 3.36
Tc  0.0000  0.0000  0.5000  8 Br 2.91
Br  0.5000  0.5000  0.2693  4 Tc 2.91, 4 Si 3.08

Calculated values
Fermi-level density of states   2.17 states/eV/f.u.
Density   5.8 g/cm3

***

<y> is favored, and the nearest alternative lies 0.048 eV/atom above it.

***

<w>
SiTcBr2: relaxed, GGA-PBE.

a = 3.3913 Å, b = 3.0326 Å, c = 17.9504 Å
α = 90.00°, β = 90.00°, γ = 90.00°
With the nearest neighbours (Å) after each atom.
Space group Amm2 (No. 38)
One atom of each set of equivalent atoms:
Si  0.0000  0.0000  0.0000  1 Br 2.31, 4 Tc 2.53
Tc  0.5000  0.0000  0.4380  2 Br 2.50, 4 Si 2.53
Br  0.0000  0.0000  0.1286  1 Si 2.31
Br  0.5000  0.0000  0.8270  2 Tc 2.50

Calculated values
Fermi-level density of states   3.34 states/eV/f.u.
Density   5.1 g/cm3

***

<x>
SiTcBr2: relaxed, GGA-PBE.

a = 3.2467 Å, b = 3.2467 Å, c = 31.4586 Å
α = 90.00°, β = 90.00°, γ = 120.00°
With the nearest neighbours (Å) after each atom.
Space group R-3m (No. 166, hexagonal axes)
One atom of each set of equivalent atoms:
Si  0.0000  0.0000  0.0000  6 Si 3.25, 2 Br 3.45
Tc  0.0000  0.0000  0.5000  6 Br 2.59
Br  0.0000  0.0000  0.1098  3 Tc 2.59

Calculated values
Fermi-level density of states   4.18 states/eV/f.u.
Density   5.0 g/cm3

***

<w> is favored, and the nearest alternative lies 0.821 eV/atom above it.

***

<w>
SiTcBr2: relaxed, GGA-PBE.

a = 9.3440 Å, b = 9.3440 Å, c = 4.6562 Å
α = 90.00°, β = 90.00°, γ = 90.00°
With the nearest neighbours (Å) after each atom.
Space group I-42d (No. 122)
One atom of each set of equivalent atoms:
Si  0.0000  0.0000  0.0000  2 Tc 2.33
Tc  0.0000  0.0000  0.5000  2 Si 2.33, 4 Br 2.60
Br  0.1052  0.2500  0.6250  2 Tc 2.60

Calculated values
Fermi-level density of states   4.87 states/eV/f.u.
Density   4.7 g/cm3

***

<x>
SiTcBr2: relaxed, GGA-PBE.

a = 4.0694 Å, b = 6.2839 Å, c = 9.0255 Å
α = 71.07°, β = 79.24°, γ = 81.56°
With the nearest neighbours (Å) after each atom.
Space group P-1 (No. 2)
One atom of each set of equivalent atoms:
Si  0.2126  0.0588  0.0561  3 Tc 2.33-2.50, 2 Si 2.47-2.48, 1 Br 2.47
Tc  0.3562  0.7312  0.9488  3 Si 2.33-2.50, 2 Br 2.48-2.53
Br  0.1737  0.0322  0.6905  1 Si 2.47, 1 Tc 2.63
Br  0.2624  0.4762  0.2247  2 Tc 2.48-2.53

Calculated values
Fermi-level density of states   0.29 states/eV/f.u.
Density   4.4 g/cm3

***

<y>
SiTcBr2: relaxed, GGA-PBE.

a = 3.2528 Å, b = 3.4536 Å, c = 9.3382 Å
α = 97.25°, β = 90.41°, γ = 118.09°
With the nearest neighbours (Å) after each atom.
Space group P1 (No. 1)
One atom of each set of equivalent atoms:
Si  0.0000  0.0000  0.0000  1 Br 2.21, 3 Tc 2.43-2.46
Tc  0.2780  0.5624  0.8401  3 Si 2.43-2.46, 2 Br 2.57
Br  0.0639  0.1164  0.2388  1 Si 2.21
Br  0.8282  0.6712  0.6358  2 Tc 2.57

Calculated values
Fermi-level density of states   1.54 states/eV/f.u.
Density   5.2 g/cm3

***

<z>
SiTcBr2: relaxed, GGA-PBE.

a = 8.5996 Å, b = 3.2964 Å, c = 8.7292 Å
α = 90.00°, β = 114.60°, γ = 90.00°
With the nearest neighbours (Å) after each atom.
Space group Cm (No. 8)
One atom of each set of equivalent atoms:
Si  0.0000  0.0000  0.0000  1 Br 2.23, 2 Tc 2.30
Tc  0.1173  0.5000  0.1993  2 Si 2.30, 1 Br 2.48
Br  0.3161  0.5000  0.7297  1 Si 2.23
Br  0.3887  0.0000  0.3022  3 Tc 2.48-2.69

Calculated values
Fermi-level density of states   1.49 states/eV/f.u.
Density   4.2 g/cm3

***

<x> is favored, and the nearest alternative lies 0.139 eV/atom above it.

***

<w>
SiTcBr2: relaxed, GGA-PBE.

a = 4.6527 Å, b = 3.6468 Å, c = 7.0164 Å
α = 90.00°, β = 108.73°, γ = 90.00°
With the nearest neighbours (Å) after each atom.
Space group P2/m (No. 10)
One atom of each set of equivalent atoms:
Si  0.0000  0.0000  0.0000  2 Tc 2.33
Tc  0.5000  0.0000  0.0000  2 Si 2.33
Br  0.3600  0.5000  0.7199  2 Tc 2.61

Calculated values
Fermi-level density of states   2.15 states/eV/f.u.
Density   4.2 g/cm3

***

<x>
SiTcBr2: relaxed, GGA-PBE.

a = 3.2295 Å, b = 4.4929 Å, c = 5.8187 Å
α = 90.00°, β = 90.00°, γ = 90.00°
With the nearest neighbours (Å) after each atom.
Space group Pmmm (No. 47)
One atom of each set of equivalent atoms:
Si  0.0000  0.0000  0.0000  4 Br 2.77
Tc  0.5000  0.0000  0.5000  4 Br 2.77
Br  0.0000  0.5000  0.5000  4 Tc 2.77
Br  0.5000  0.5000  0.0000  4 Si 2.77

Calculated values
Fermi-level density of states   1.67 states/eV/f.u.
Density   5.6 g/cm3

***

<w> is favored, and the nearest alternative lies 0.649 eV/atom above it.

***

<w>
SiTcBr2: relaxed, GGA-PBE.

a = 17.0732 Å, b = 3.4676 Å, c = 7.2231 Å
α = 90.00°, β = 107.76°, γ = 90.00°
With the nearest neighbours (Å) after each atom.
Space group C2/m (No. 12)
One atom of each set of equivalent atoms:
Si  0.2130  0.0000  0.0561  1 Br 2.37, 3 Tc 2.37-2.47, 2 Si 2.43
Tc  0.2250  0.0000  0.7237  3 Si 2.37-2.47, 1 Br 2.58
Br  0.0844  0.0000  0.8099  1 Si 2.37
Br  0.1518  0.5000  0.4117  3 Tc 2.58-2.82

Calculated values
Fermi-level density of states   2.56 states/eV/f.u.
Density   4.7 g/cm3

***

<x>
SiTcBr2: relaxed, GGA-PBE.

a = 4.3764 Å, b = 6.5276 Å, c = 8.8372 Å
α = 71.95°, β = 79.77°, γ = 89.43°
With the nearest neighbours (Å) after each atom.
Space group P1 (No. 1)
One atom of each set of equivalent atoms:
Si  0.0000  0.0000  0.0000  1 Si 2.29, 1 Tc 2.39, 2 Br 2.42-2.52
Si  0.4018  0.8215  0.9018  1 Br 2.24, 1 Si 2.29, 2 Tc 2.33-2.42
Tc  0.0330  0.5457  0.0906  1 Tc 2.23, 1 Si 2.42
Tc  0.6068  0.7219  0.1393  1 Tc 2.23, 2 Si 2.33-2.39
Br  0.1785  0.5083  0.3667  2 Tc 2.54-2.57
Br  0.2097  0.0924  0.2068  1 Si 2.42
Br  0.6049  0.9012  0.6378  1 Si 2.24
Br  0.9268  0.3937  0.8676  1 Si 2.52, 1 Tc 2.57

Calculated values
Density   4.0 g/cm3

***

<w> is favored, and the nearest alternative lies 0.093 eV/atom above it.

***

<w>
Si2TcBr: relaxed, GGA-PBE.

a = 5.7512 Å, b = 7.4183 Å, c = 3.1155 Å
α = 90.00°, β = 103.57°, γ = 90.00°
With the nearest neighbours (Å) after each atom.
Space group C2/m (No. 12)
One atom of each set of equivalent atoms:
Si  0.2500  0.2500  0.0000  2 Tc 2.62, 2 Br 2.62, 2 Si 2.88
Tc  0.0000  0.0000  0.5000  4 Si 2.62, 2 Br 2.88
Br  0.0000  0.5000  0.5000  4 Si 2.62, 2 Tc 2.88

Calculated values
Fermi-level density of states   2.92 states/eV/f.u.
Density   6.0 g/cm3

***

<x>
Si2TcBr: relaxed, GGA-PBE.

a = 3.0702 Å, b = 3.0702 Å, c = 7.3573 Å
α = 90.00°, β = 90.00°, γ = 90.00°
With the nearest neighbours (Å) after each atom.
Space group P4/mmm (No. 123)
One atom of each set of equivalent atoms:
Si  0.0000  0.0000  0.1833  4 Tc 2.56, 1 Si 2.70
Tc  0.5000  0.5000  0.0000  8 Si 2.56
Br  0.5000  0.5000  0.5000  4 Br 3.07, 8 Si 3.18

Calculated values
Fermi-level density of states   2.33 states/eV/f.u.
Density   5.6 g/cm3

***

<y>
Si2TcBr: relaxed, GGA-PBE.

a = 3.2466 Å, b = 3.2466 Å, c = 22.7176 Å
α = 90.00°, β = 90.00°, γ = 120.00°
With the nearest neighbours (Å) after each atom.
Space group R-3m (No. 166, hexagonal axes)
One atom of each set of equivalent atoms:
Si  0.0000  0.0000  0.2369  3 Tc 2.46
Tc  0.0000  0.0000  0.5000  6 Si 2.46
Br  0.0000  0.0000  0.0000  6 Si 2.88

Calculated values
Fermi-level density of states   3.79 states/eV/f.u.
Density   5.6 g/cm3

***

<y> is favored, and the nearest alternative lies 0.061 eV/atom above it.